{
  "formula": "Tb8Pm2Mg",
  "functional": "PBE-GGA",
  "state": "optimized geometry",
  "lattice": [[6.357, 1.670, 1.388], [2.204, 9.173, 3.299], [2.204, 4.920, 8.415]],
  "species": ["Tb", "Tb", "Tb", "Tb", "Tb", "Tb", "Tb", "Tb", "Pm", "Pm", "Mg"],
  "fractional_positions": [[0.775, 0.180, 0.658], [0.225, 0.342, 0.820], [0.822, 0.245, 0.245], [0.178, 0.755, 0.755], [0.775, 0.658, 0.180], [0.225, 0.820, 0.342], [0.272, 0.405, 0.405], [0.728, 0.595, 0.595], [0.421, 0.186, 0.186], [0.579, 0.814, 0.814], [0.000, 0.000, 0.000]],
  "spacegroup": "C2/m (12)",
  "formation_enthalpy_0k_ev_per_atom": 0.14,
  "de_polymorph_kj_per_mol_atoms": 3.0,
  "density_g_cm3": 7.40
}